Crystalline Bi2MoAs at its relaxed geometry, computed with GGA-PBE.

Structure (POSCAR):
```
Bi2MoAs
1.0
6.540 0.000 0.000
0.000 6.540 0.000
0.000 0.000 13.066
Bi Mo As
8 4 4
Direct
0.239 0.250 0.125
0.250 0.739 0.375
0.250 0.761 0.875
0.261 0.250 0.625
0.739 0.750 0.625
0.750 0.239 0.875
0.750 0.261 0.375
0.761 0.750 0.125
0.000 0.000 0.000
0.000 0.500 0.250
0.500 0.000 0.750
0.500 0.500 0.500
0.000 0.000 0.500
0.000 0.500 0.750
0.500 0.000 0.250
0.500 0.500 0.000
```

Computed properties:
- SG: No. 122
- N(E_F): 0.2643 states/eV per atom
- ΔE_f: 0.8603 eV/atom
- Calculated total energy: -4.95 eV/atom
- Magnetic moment: 2.98 μB per formula unit